[1]
A plane-wave DFT calculation with PBE was carried out for a relaxed Ce3Si4Rh crystal.

ΔE_f (raw) (eV/atom): -0.61
Magnetic moment (μB/f.u.): 1.056

Geometry as CIF:
```
data_Ce3Si4Rh
_chemical_formula_sum 'Ce3 Si4 Rh1'
_space_group_name_H-M_alt 'P 1'
_space_group_IT_number 1
_space_group_name_Hall 'P 1'
_cell_length_a 4.421
_cell_length_b 5.907
_cell_length_c 7.819
_cell_angle_alpha 112.19
_cell_angle_beta 106.42
_cell_angle_gamma 90.00
loop_
_atom_site_label
_atom_site_type_symbol
_atom_site_fract_x
_atom_site_fract_y
_atom_site_fract_z
Ce1 Ce 0.184 0.184 0.369
Ce2 Ce 0.816 0.816 0.631
Ce3 Ce 0.000 0.500 0.000
Si1 Si 0.381 0.585 0.762
Si2 Si 0.619 0.415 0.238
Si3 Si 0.619 0.824 0.238
Si4 Si 0.381 0.176 0.762
Rh1 Rh 0.500 0.000 0.000
```


[2]
A plane-wave DFT calculation with PBE was carried out for a relaxed Ce3Si2Rh2 crystal.

ΔE_f (raw) (eV/atom): -0.86
Magnetic moment (μB/f.u.): 1.842

Geometry as CIF:
```
data_Ce3Si2Rh2
_chemical_formula_sum 'Ce12 Si8 Rh8'
_space_group_name_H-M_alt 'P 1'
_space_group_IT_number 1
_space_group_name_Hall 'P 1'
_cell_length_a 5.562
_cell_length_b 7.943
_cell_length_c 13.128
_cell_angle_alpha 90.00
_cell_angle_beta 90.00
_cell_angle_gamma 90.00
loop_
_atom_site_label
_atom_site_type_symbol
_atom_site_fract_x
_atom_site_fract_y
_atom_site_fract_z
Ce1 Ce 0.146 0.250 0.750
Ce2 Ce 0.854 0.750 0.250
Ce3 Ce 0.146 0.250 0.250
Ce4 Ce 0.854 0.750 0.750
Ce5 Ce 0.646 0.394 0.600
Ce6 Ce 0.354 0.606 0.100
Ce7 Ce 0.646 0.106 0.400
Ce8 Ce 0.354 0.894 0.900
Ce9 Ce 0.354 0.606 0.400
Ce10 Ce 0.646 0.394 0.900
Ce11 Ce 0.354 0.894 0.600
Ce12 Ce 0.646 0.106 0.100
Si1 Si 0.158 0.250 0.500
Si2 Si 0.842 0.750 0.000
Si3 Si 0.842 0.750 0.500
Si4 Si 0.158 0.250 0.000
Si5 Si 0.645 0.103 0.750
Si6 Si 0.355 0.897 0.250
Si7 Si 0.645 0.397 0.250
Si8 Si 0.355 0.603 0.750
Rh1 Rh 0.879 0.039 0.593
Rh2 Rh 0.121 0.961 0.093
Rh3 Rh 0.879 0.461 0.407
Rh4 Rh 0.121 0.539 0.907
Rh5 Rh 0.121 0.961 0.407
Rh6 Rh 0.879 0.039 0.907
Rh7 Rh 0.121 0.539 0.593
Rh8 Rh 0.879 0.461 0.093
```


[3]
A plane-wave DFT calculation with PBE was carried out for a relaxed Ce3Si3Rh crystal.

ΔE_f (raw) (eV/atom): -0.78
Relative energy among the computed polymorphs (eV/f.u.): 0.00
Magnetic moment (μB/f.u.): 2.251

Geometry as CIF:
```
data_Ce3Si3Rh
_chemical_formula_sum 'Ce6 Si6 Rh2'
_space_group_name_H-M_alt 'P 1'
_space_group_IT_number 1
_space_group_name_Hall 'P 1'
_cell_length_a 4.277
_cell_length_b 5.803
_cell_length_c 13.055
_cell_angle_alpha 84.99
_cell_angle_beta 80.57
_cell_angle_gamma 68.38
loop_
_atom_site_label
_atom_site_type_symbol
_atom_site_fract_x
_atom_site_fract_y
_atom_site_fract_z
Ce1 Ce 0.520 0.335 0.625
Ce2 Ce 0.480 0.665 0.375
Ce3 Ce 0.251 0.272 0.227
Ce4 Ce 0.749 0.728 0.773
Ce5 Ce 0.396 0.288 0.921
Ce6 Ce 0.604 0.712 0.079
Si1 Si 0.870 0.714 0.546
Si2 Si 0.130 0.286 0.454
Si3 Si 0.106 0.863 0.924
Si4 Si 0.894 0.137 0.076
Si5 Si 0.945 0.872 0.238
Si6 Si 0.055 0.128 0.762
Rh1 Rh 0.759 0.065 0.416
Rh2 Rh 0.241 0.935 0.584
```


[4]
A plane-wave DFT calculation with PBE was carried out for a relaxed CeSi2Rh4 crystal.

ΔE_f (raw) (eV/atom): -0.85
Relative energy among the computed polymorphs (eV/f.u.): 0.00
Magnetic moment (μB/f.u.): 0.119

Geometry as CIF:
```
data_CeSi2Rh4
_chemical_formula_sum 'Ce2 Si4 Rh8'
_space_group_name_H-M_alt 'P 1'
_space_group_IT_number 1
_space_group_name_Hall 'P 1'
_cell_length_a 3.765
_cell_length_b 7.702
_cell_length_c 7.702
_cell_angle_alpha 90.00
_cell_angle_beta 90.00
_cell_angle_gamma 90.00
loop_
_atom_site_label
_atom_site_type_symbol
_atom_site_fract_x
_atom_site_fract_y
_atom_site_fract_z
Ce1 Ce 0.500 0.000 0.000
Ce2 Ce 0.000 0.500 0.500
Si1 Si 0.000 0.229 0.771
Si2 Si 0.000 0.771 0.229
Si3 Si 0.500 0.729 0.729
Si4 Si 0.500 0.271 0.271
Rh1 Rh 0.000 0.074 0.328
Rh2 Rh 0.000 0.926 0.672
Rh3 Rh 0.500 0.172 0.574
Rh4 Rh 0.500 0.828 0.426
Rh5 Rh 0.500 0.426 0.828
Rh6 Rh 0.500 0.574 0.172
Rh7 Rh 0.000 0.328 0.074
Rh8 Rh 0.000 0.672 0.926
```


[5]
A plane-wave DFT calculation with PBE was carried out for a relaxed CeSi4Rh2 crystal.

ΔE_f (raw) (eV/atom): -0.75
Magnetic moment (μB/f.u.): 0.229

Geometry as CIF:
```
data_CeSi4Rh2
_chemical_formula_sum 'Ce4 Si16 Rh8'
_space_group_name_H-M_alt 'P 1'
_space_group_IT_number 1
_space_group_name_Hall 'P 1'
_cell_length_a 4.215
_cell_length_b 6.405
_cell_length_c 16.605
_cell_angle_alpha 90.00
_cell_angle_beta 90.00
_cell_angle_gamma 90.00
loop_
_atom_site_label
_atom_site_type_symbol
_atom_site_fract_x
_atom_site_fract_y
_atom_site_fract_z
Ce1 Ce 0.750 0.003 0.641
Ce2 Ce 0.250 0.997 0.359
Ce3 Ce 0.250 0.503 0.859
Ce4 Ce 0.750 0.497 0.141
Si1 Si 0.250 0.287 0.692
Si2 Si 0.750 0.713 0.308
Si3 Si 0.750 0.787 0.808
Si4 Si 0.250 0.213 0.192
Si5 Si 0.250 0.688 0.682
Si6 Si 0.750 0.312 0.318
Si7 Si 0.750 0.188 0.818
Si8 Si 0.250 0.812 0.182
Si9 Si 0.250 0.144 0.533
Si10 Si 0.750 0.856 0.467
Si11 Si 0.750 0.644 0.967
Si12 Si 0.250 0.356 0.033
Si13 Si 0.250 0.463 0.435
Si14 Si 0.750 0.537 0.565
Si15 Si 0.750 0.963 0.065
Si16 Si 0.250 0.037 0.935
Rh1 Rh 0.250 0.747 0.531
Rh2 Rh 0.750 0.253 0.469
Rh3 Rh 0.750 0.247 0.969
Rh4 Rh 0.250 0.753 0.031
Rh5 Rh 0.250 0.987 0.789
Rh6 Rh 0.750 0.013 0.211
Rh7 Rh 0.750 0.487 0.711
Rh8 Rh 0.250 0.513 0.289
```


[6]
A plane-wave DFT calculation with PBE was carried out for a relaxed CeSi2Rh5 crystal.

ΔE_f (raw) (eV/atom): -0.81
Magnetic moment (μB/f.u.): 0.000

Geometry as CIF:
```
data_CeSi2Rh5
_chemical_formula_sum 'Ce1 Si2 Rh5'
_space_group_name_H-M_alt 'P 1'
_space_group_IT_number 1
_space_group_name_Hall 'P 1'
_cell_length_a 3.871
_cell_length_b 6.254
_cell_length_c 6.254
_cell_angle_alpha 65.32
_cell_angle_beta 71.98
_cell_angle_gamma 71.98
loop_
_atom_site_label
_atom_site_type_symbol
_atom_site_fract_x
_atom_site_fract_y
_atom_site_fract_z
Ce1 Ce 0.000 0.000 0.000
Si1 Si 0.764 0.736 0.736
Si2 Si 0.236 0.264 0.264
Rh1 Rh 0.000 0.500 0.500
Rh2 Rh 0.645 0.558 0.152
Rh3 Rh 0.355 0.442 0.848
Rh4 Rh 0.355 0.848 0.442
Rh5 Rh 0.645 0.152 0.558
```


[7]
A plane-wave DFT calculation with PBE was carried out for a relaxed Ce6Si3Rh crystal.

ΔE_f (raw) (eV/atom): -0.37
Magnetic moment (μB/f.u.): 5.123

Geometry as CIF:
```
data_Ce6Si3Rh
_chemical_formula_sum 'Ce12 Si6 Rh2'
_space_group_name_H-M_alt 'P 1'
_space_group_IT_number 1
_space_group_name_Hall 'P 1'
_cell_length_a 6.998
_cell_length_b 8.024
_cell_length_c 9.419
_cell_angle_alpha 90.00
_cell_angle_beta 89.23
_cell_angle_gamma 90.00
loop_
_atom_site_label
_atom_site_type_symbol
_atom_site_fract_x
_atom_site_fract_y
_atom_site_fract_z
Ce1 Ce 0.659 0.174 0.936
Ce2 Ce 0.656 0.186 0.572
Ce3 Ce 0.695 0.419 0.253
Ce4 Ce 0.305 0.581 0.747
Ce5 Ce 0.344 0.814 0.428
Ce6 Ce 0.341 0.826 0.064
Ce7 Ce 0.159 0.326 0.436
Ce8 Ce 0.156 0.314 0.072
Ce9 Ce 0.195 0.081 0.753
Ce10 Ce 0.805 0.919 0.247
Ce11 Ce 0.844 0.686 0.928
Ce12 Ce 0.841 0.674 0.564
Si1 Si 0.549 0.881 0.744
Si2 Si 0.500 0.500 0.000
Si3 Si 0.451 0.119 0.256
Si4 Si 0.049 0.619 0.244
Si5 Si 0.000 0.000 0.500
Si6 Si 0.951 0.381 0.756
Rh1 Rh 0.500 0.500 0.500
Rh2 Rh 0.000 0.000 0.000
```


[8]
A plane-wave DFT calculation with PBE was carried out for a relaxed Ce3Si3Rh2 crystal.

ΔE_f (raw) (eV/atom): -0.88
Relative energy among the computed polymorphs (eV/f.u.): 0.00
Magnetic moment (μB/f.u.): 0.168

Geometry as CIF:
```
data_Ce3Si3Rh2
_chemical_formula_sum 'Ce6 Si6 Rh4'
_space_group_name_H-M_alt 'P 1'
_space_group_IT_number 1
_space_group_name_Hall 'P 1'
_cell_length_a 4.151
_cell_length_b 5.725
_cell_length_c 15.054
_cell_angle_alpha 90.00
_cell_angle_beta 90.00
_cell_angle_gamma 111.26
loop_
_atom_site_label
_atom_site_type_symbol
_atom_site_fract_x
_atom_site_fract_y
_atom_site_fract_z
Ce1 Ce 0.865 0.731 0.405
Ce2 Ce 0.135 0.269 0.905
Ce3 Ce 0.865 0.731 0.095
Ce4 Ce 0.135 0.269 0.595
Ce5 Ce 0.591 0.183 0.250
Ce6 Ce 0.409 0.817 0.750
Si1 Si 0.583 0.166 0.449
Si2 Si 0.417 0.834 0.949
Si3 Si 0.583 0.166 0.051
Si4 Si 0.417 0.834 0.551
Si5 Si 0.306 0.613 0.250
Si6 Si 0.694 0.387 0.750
Rh1 Rh 0.844 0.688 0.879
Rh2 Rh 0.156 0.312 0.379
Rh3 Rh 0.844 0.688 0.621
Rh4 Rh 0.156 0.312 0.121
```


[9]
A plane-wave DFT calculation with PBE was carried out for a relaxed Ce4Si9Rh3 crystal.

ΔE_f (raw) (eV/atom): -0.83
Magnetic moment (μB/f.u.): 0.955

Geometry as CIF:
```
data_Ce4Si9Rh3
_chemical_formula_sum 'Ce4 Si9 Rh3'
_space_group_name_H-M_alt 'P 1'
_space_group_IT_number 1
_space_group_name_Hall 'P 1'
_cell_length_a 4.185
_cell_length_b 4.208
_cell_length_c 16.674
_cell_angle_alpha 90.00
_cell_angle_beta 90.00
_cell_angle_gamma 90.00
loop_
_atom_site_label
_atom_site_type_symbol
_atom_site_fract_x
_atom_site_fract_y
_atom_site_fract_z
Ce1 Ce 0.000 0.000 0.401
Ce2 Ce 0.000 0.500 0.896
Ce3 Ce 0.500 0.500 0.111
Ce4 Ce 0.500 0.000 0.606
Si1 Si 0.000 0.000 0.031
Si2 Si 0.000 0.500 0.537
Si3 Si 0.500 0.500 0.461
Si4 Si 0.500 0.000 0.964
Si5 Si 0.000 0.500 0.251
Si6 Si 0.000 0.000 0.751
Si7 Si 0.500 0.000 0.252
Si8 Si 0.500 0.500 0.752
Si9 Si 0.000 0.000 0.170
Rh1 Rh 0.000 0.500 0.679
Rh2 Rh 0.500 0.500 0.316
Rh3 Rh 0.500 0.000 0.823
```


[10]
A plane-wave DFT calculation with PBE was carried out for a relaxed CeSi2Rh crystal.

ΔE_f (raw) (eV/atom): -0.93
Magnetic moment (μB/f.u.): 0.002

Geometry as CIF:
```
data_CeSi2Rh
_chemical_formula_sum 'Ce2 Si4 Rh2'
_space_group_name_H-M_alt 'P 1'
_space_group_IT_number 1
_space_group_name_Hall 'P 1'
_cell_length_a 4.160
_cell_length_b 4.180
_cell_length_c 8.671
_cell_angle_alpha 103.95
_cell_angle_beta 90.00
_cell_angle_gamma 90.00
loop_
_atom_site_label
_atom_site_type_symbol
_atom_site_fract_x
_atom_site_fract_y
_atom_site_fract_z
Si1 Si 0.750 0.963 0.927
Si2 Si 0.250 0.037 0.073
Si3 Si 0.750 0.251 0.501
Si4 Si 0.250 0.749 0.499
Rh1 Rh 0.750 0.823 0.645
Rh2 Rh 0.250 0.177 0.355
Ce1 Ce 0.750 0.606 0.211
Ce2 Ce 0.250 0.394 0.789
```


[11]
A plane-wave DFT calculation with PBE was carried out for a relaxed CeSi2Rh4 crystal.

ΔE_f (raw) (eV/atom): -0.53
Relative energy among the computed polymorphs (eV/f.u.): 2.27
Magnetic moment (μB/f.u.): 0.003

Geometry as CIF:
```
data_CeSi2Rh4
_chemical_formula_sum 'Ce1 Si2 Rh4'
_space_group_name_H-M_alt 'P 1'
_space_group_IT_number 1
_space_group_name_Hall 'P 1'
_cell_length_a 3.912
_cell_length_b 3.912
_cell_length_c 8.934
_cell_angle_alpha 102.65
_cell_angle_beta 102.65
_cell_angle_gamma 90.00
loop_
_atom_site_label
_atom_site_type_symbol
_atom_site_fract_x
_atom_site_fract_y
_atom_site_fract_z
Ce1 Ce 0.000 0.000 0.000
Si1 Si 0.664 0.664 0.328
Si2 Si 0.336 0.336 0.672
Rh1 Rh 0.131 0.131 0.262
Rh2 Rh 0.869 0.869 0.738
Rh3 Rh 0.250 0.750 0.500
Rh4 Rh 0.750 0.250 0.500
```


[12]
A plane-wave DFT calculation with PBE was carried out for a relaxed Ce4Si2Rh crystal.

ΔE_f (raw) (eV/atom): -0.54
Magnetic moment (μB/f.u.): 1.371

Geometry as CIF:
```
data_Ce4Si2Rh
_chemical_formula_sum 'Ce4 Si2 Rh1'
_space_group_name_H-M_alt 'P 1'
_space_group_IT_number 1
_space_group_name_Hall 'P 1'
_cell_length_a 4.276
_cell_length_b 5.944
_cell_length_c 5.944
_cell_angle_alpha 93.44
_cell_angle_beta 90.00
_cell_angle_gamma 90.00
loop_
_atom_site_label
_atom_site_type_symbol
_atom_site_fract_x
_atom_site_fract_y
_atom_site_fract_z
Ce1 Ce 0.000 0.832 0.832
Ce2 Ce 0.000 0.168 0.168
Ce3 Ce 0.500 0.000 0.500
Ce4 Ce 0.500 0.500 0.000
Si1 Si 0.000 0.670 0.330
Si2 Si 0.000 0.330 0.670
Rh1 Rh 0.500 0.500 0.500
```


What did the sixth record say?
A plane-wave DFT calculation with PBE was carried out for a relaxed CeSi2Rh5 crystal.

ΔE_f (raw) (eV/atom): -0.81
Magnetic moment (μB/f.u.): 0.000

Geometry as CIF:
```
data_CeSi2Rh5
_chemical_formula_sum 'Ce1 Si2 Rh5'
_space_group_name_H-M_alt 'P 1'
_space_group_IT_number 1
_space_group_name_Hall 'P 1'
_cell_length_a 3.871
_cell_length_b 6.254
_cell_length_c 6.254
_cell_angle_alpha 65.32
_cell_angle_beta 71.98
_cell_angle_gamma 71.98
loop_
_atom_site_label
_atom_site_type_symbol
_atom_site_fract_x
_atom_site_fract_y
_atom_site_fract_z
Ce1 Ce 0.000 0.000 0.000
Si1 Si 0.764 0.736 0.736
Si2 Si 0.236 0.264 0.264
Rh1 Rh 0.000 0.500 0.500
Rh2 Rh 0.645 0.558 0.152
Rh3 Rh 0.355 0.442 0.848
Rh4 Rh 0.355 0.848 0.442
Rh5 Rh 0.645 0.152 0.558
```


Question: Which formula does entry 9 have?
Answer: Ce4Si9Rh3


Question: What is the magnetic moment in the fourth record?
Answer: 0.119 μB/f.u.


Question: The highest magnetic moment belongs to which entry?
Answer: Ce6Si3Rh